No. 1
Density functional theory data (PBE) for ZnGaCoCu after structural relaxation.

The structure in POSCAR format:
```
ZnGaCoCu
1.0
0.000 2.917 2.917
2.917 0.000 2.917
2.917 2.917 0.000
Cu Ga Co Zn
1 1 1 1
Direct
0.000 0.000 0.000
0.250 0.250 0.250
0.500 0.500 0.500
0.750 0.750 0.750
```

Results
For the magnetic moment, the calculation gives 0.14 μB per formula unit. The calculation puts the total DFT energy (no corrections) at -3.88 eV per atom. Its space group is F-43m. As for the density: 8.6 g cm⁻³.

***

No. 2
Density functional theory data (PBE) for ZnGaCoCu after structural relaxation.

The structure in POSCAR format:
```
ZnGaCoCu
1.0
0.000 2.924 2.924
2.924 0.000 2.924
2.924 2.924 0.000
Ga Cu Co Zn
1 1 1 1
Direct
0.250 0.250 0.250
0.750 0.750 0.750
0.500 0.500 0.500
0.000 0.000 0.000
```

Results
For the magnetic moment, the calculation gives 0.00 μB per formula unit. The calculation puts the total DFT energy (no corrections) at -3.78 eV per atom. Its space group is F-43m. As for the density: 8.6 g cm⁻³.

***

No. 3
Density functional theory data (PBE) for GdHo2In3Co2Cu after structural relaxation.

The structure in POSCAR format:
```
GdHo2In3Co2Cu
1.0
3.885 0.000 0.000
0.000 6.388 3.687
0.000 -6.388 3.687
Gd Co Cu In Ho
1 2 1 3 2
Direct
0.000 0.414 0.414
0.500 0.333 0.668
0.500 0.668 0.333
0.000 0.999 0.999
0.500 0.743 0.743
0.500 0.258 0.999
0.500 0.999 0.258
0.000 0.587 0.000
0.000 0.000 0.587
```

Results
For the magnetic moment, the calculation gives 0.00 μB per formula unit. The calculation puts the total DFT energy (no corrections) at -4.77 eV per atom. Its space group is Amm2. As for the density: 9.2 g cm⁻³.